## Ho2Pa2Te7 (PBE-GGA)

Data for a relaxed Ho2Pa2Te7 crystal.

Unit cell a=9.635 b=9.635 c=9.635 alpha=154.65 beta=66.69 gamma=119.47
Sites, in units of the cell vectors:
1 Ho 0.239 0.000 0.239
2 Ho 0.761 0.000 0.761
3 Pa 0.228 0.228 0.000
4 Pa 0.677 0.177 0.500
5 Te 0.044 0.682 0.362
6 Te 0.320 0.682 0.638
7 Te 0.395 0.504 0.891
8 Te 0.613 0.504 0.109
9 Te 0.614 0.294 0.319
10 Te 0.913 0.913 0.000
11 Te 0.975 0.294 0.681

Results
Space-group type: No. 44
Energy relative to the elements, uncorrected, eV per atom: -1.04
Energy above the most stable polymorph in this dataset, meV/atom: 0
N(E_F), states/eV/f.u.: 7.4

---

## HoPaTe2 (PBE-GGA)

Data for a relaxed HoPaTe2 crystal.

Unit cell a=5.299 b=5.299 c=5.299 alpha=60.00 beta=60.00 gamma=60.00
Sites, in units of the cell vectors:
1 Ho 0.000 0.000 0.000
2 Pa 0.500 0.500 0.500
3 Te 0.250 0.250 0.250
4 Te 0.750 0.750 0.750

Results
Space-group type: No. 225
Energy relative to the elements, uncorrected, eV per atom: -0.84
Energy above the most stable polymorph in this dataset, meV/atom: 40
N(E_F), states/eV/f.u.: 6.2

---

## Ho2PaTl3Te6 (PBE-GGA)

Data for a relaxed Ho2PaTl3Te6 crystal.

Unit cell a=7.632 b=7.632 c=8.683 alpha=98.43 beta=98.43 gamma=119.98
Sites, in units of the cell vectors:
1 Ho 0.167 0.833 0.000
2 Ho 0.833 0.167 0.000
3 Pa 0.500 0.500 0.000
4 Tl 0.000 0.000 0.500
5 Tl 0.334 0.666 0.500
6 Tl 0.666 0.334 0.500
7 Te 0.093 0.428 0.785
8 Te 0.236 0.236 0.215
9 Te 0.428 0.093 0.785
10 Te 0.572 0.907 0.215
11 Te 0.764 0.764 0.785
12 Te 0.907 0.572 0.215

Results
Space-group type: No. 12
Energy relative to the elements, uncorrected, eV per atom: -0.87
N(E_F), states/eV/f.u.: 9.6

---

## Ho2PaTl2Te6 (PBE-GGA)

Data for a relaxed Ho2PaTl2Te6 crystal.

Unit cell a=7.615 b=7.615 c=8.675 alpha=98.45 beta=98.45 gamma=120.07
Sites, in units of the cell vectors:
1 Ho 0.168 0.832 0.000
2 Ho 0.832 0.168 0.000
3 Pa 0.500 0.500 0.000
4 Tl 0.334 0.666 0.500
5 Tl 0.666 0.334 0.500
6 Te 0.096 0.428 0.787
7 Te 0.237 0.237 0.212
8 Te 0.428 0.096 0.787
9 Te 0.572 0.904 0.213
10 Te 0.763 0.763 0.788
11 Te 0.904 0.572 0.213

Results
Space-group type: No. 12
Energy relative to the elements, uncorrected, eV per atom: -0.98
N(E_F), states/eV/f.u.: 3.3

---

## HoPa3Tl3Te8 (PBE-GGA)

Data for a relaxed HoPa3Tl3Te8 crystal.

Unit cell a=9.853 b=9.853 c=9.853 alpha=52.16 beta=52.16 gamma=52.16
Sites, in units of the cell vectors:
1 Ho 0.000 0.000 0.000
2 Pa 0.000 0.500 0.500
3 Pa 0.500 0.000 0.500
4 Pa 0.500 0.500 0.000
5 Tl 0.000 0.000 0.500
6 Tl 0.000 0.500 0.000
7 Tl 0.500 0.000 0.000
8 Te 0.238 0.238 0.739
9 Te 0.238 0.739 0.238
10 Te 0.260 0.260 0.260
11 Te 0.261 0.762 0.762
12 Te 0.739 0.238 0.238
13 Te 0.740 0.740 0.740
14 Te 0.762 0.261 0.762
15 Te 0.762 0.762 0.261

Results
Space-group type: No. 166
Energy relative to the elements, uncorrected, eV per atom: -0.76
N(E_F), states/eV/f.u.: 21.0

---

## HoThPa (PBE-GGA)

Data for a relaxed HoThPa crystal.

Unit cell a=8.029 b=8.029 c=8.029 alpha=155.67 beta=155.67 gamma=34.67
Sites, in units of the cell vectors:
1 Ho 0.000 0.000 0.000
2 Th 0.680 0.680 0.000
3 Pa 0.339 0.339 0.000

Results
Space-group type: No. 107
Energy above the most stable polymorph in this dataset, meV/atom: 0
N(E_F), states/eV/f.u.: 5.5

---

## HoThPa2 (PBE-GGA)

Data for a relaxed HoThPa2 crystal.

Unit cell a=4.708 b=4.708 c=4.996 alpha=90.00 beta=90.00 gamma=90.00
Sites, in units of the cell vectors:
1 Ho 0.000 0.000 0.000
2 Th 0.500 0.500 0.000
3 Pa 0.000 0.500 0.500
4 Pa 0.500 0.000 0.500

Results
Space-group type: No. 123
Energy above the most stable polymorph in this dataset, meV/atom: 0
N(E_F), states/eV/f.u.: 8.8

---

## HoThPa (PBE-GGA)

Data for a relaxed HoThPa crystal.

Unit cell a=5.503 b=5.503 c=3.343 alpha=90.00 beta=90.00 gamma=120.00
Sites, in units of the cell vectors:
1 Ho 0.000 0.000 0.000
2 Th 0.667 0.333 0.500
3 Pa 0.333 0.667 0.000

Results
Space-group type: No. 187
Energy above the most stable polymorph in this dataset, meV/atom: 130
N(E_F), states/eV/f.u.: 6.9